Record 1
Entry from Alexandria: a relaxed Er2Ga3Co4 crystal (PBE).

a = 5.3534 Å, b = 14.8579 Å, c = 6.8960 Å
α = 90.00°, β = 90.00°, γ = 90.00°
With the nearest neighbours (Å) after each atom.
Space group Cmce (No. 64)
Inequivalent atoms, fractional coordinates:
Er 0.0000 0.1039 0.0860 (multiplicity 8)  5 Co 2.72-2.96, 2 Ga 2.97
Ga 0.0000 0.0000 0.5000 (multiplicity 4)  6 Co 2.43-2.53
Ga 0.2500 0.2349 0.7500 (multiplicity 8)  5 Co 2.42-2.56, 2 Ga 2.68
Co 0.0000 0.1705 0.4913 (multiplicity 8)  5 Ga 2.43-2.56, 2 Co 2.67
Co 0.2500 0.0720 0.7500 (multiplicity 8)  3 Ga 2.42-2.43, 4 Co 2.67-2.68

Calculated values
DFT formation energy ... -0.391 eV per atom

***

Record 2
Entry from Alexandria: a relaxed ErGaCo4 crystal (PBE).

a = 4.0815 Å, b = 14.8075 Å, c = 5.5830 Å
α = 90.00°, β = 90.00°, γ = 90.00°
With the nearest neighbours (Å) after each atom.
Space group Cmcm (No. 63)
Inequivalent atoms, fractional coordinates:
Er 0.0000 0.1234 0.2500 (multiplicity 4)  7 Co 2.68-2.95
Ga 0.0000 0.2230 0.7500 (multiplicity 4)  7 Co 2.42-2.53
Co 0.0000 0.0598 0.7500 (multiplicity 4)  1 Ga 2.42, 4 Co 2.63
Co 0.0000 0.3433 0.0491 (multiplicity 8)  2 Co 2.24-2.34, 1 Ga 2.44
Co 0.0000 0.5000 0.0000 (multiplicity 4)  2 Co 2.34

Calculated values
DFT formation energy ... -0.061 eV per atom